No. 1
# ErInAu2 | Alexandria | meta-GGA SCAN | PBEsol geometry
data_ErInAu2
_chemical_formula_sum 'Er4 In4 Au8'
_space_group_name_H-M_alt 'F m -3 m'
_space_group_IT_number 225
_space_group_name_Hall '-F 4 2 3'
_cell_length_a 6.828
_cell_length_b 6.828
_cell_length_c 6.828
_cell_angle_alpha 90.00
_cell_angle_beta 90.00
_cell_angle_gamma 90.00
loop_
_atom_site_label
_atom_site_type_symbol
_atom_site_fract_x
_atom_site_fract_y
_atom_site_fract_z
_atom_site_occupancy
Er1 Er 0.000 0.000 0.000 1
In1 In 0.000 0.000 0.500 1
Au1 Au 0.250 0.250 0.250 1
# VASP energy (eV/atom): -56.37
# Total moment (μB per cell): 0.0

No. 2
# Mn3NiBi | Alexandria | meta-GGA SCAN | PBEsol geometry
data_Mn3NiBi
_chemical_formula_sum 'Mn3 Ni1 Bi1'
_space_group_name_H-M_alt 'P m -3 m'
_space_group_IT_number 221
_space_group_name_Hall '-P 4 2 3'
_cell_length_a 4.488
_cell_length_b 4.488
_cell_length_c 4.488
_cell_angle_alpha 90.00
_cell_angle_beta 90.00
_cell_angle_gamma 90.00
loop_
_atom_site_label
_atom_site_type_symbol
_atom_site_fract_x
_atom_site_fract_y
_atom_site_fract_z
_atom_site_occupancy
Mn1 Mn 0.000 0.000 0.500 1
Ni1 Ni 0.000 0.000 0.000 1
Bi1 Bi 0.500 0.500 0.500 1
# VASP energy (eV/atom): -29.69
# Total moment (μB per cell): 12.8

No. 3
# Tc3AgPd | Alexandria | meta-GGA SCAN | PBEsol geometry
data_Tc3AgPd
_chemical_formula_sum 'Tc3 Ag1 Pd1'
_space_group_name_H-M_alt 'P m -3 m'
_space_group_IT_number 221
_space_group_name_Hall '-P 4 2 3'
_cell_length_a 4.609
_cell_length_b 4.609
_cell_length_c 4.609
_cell_angle_alpha 90.00
_cell_angle_beta 90.00
_cell_angle_gamma 90.00
loop_
_atom_site_label
_atom_site_type_symbol
_atom_site_fract_x
_atom_site_fract_y
_atom_site_fract_z
_atom_site_occupancy
Tc1 Tc 0.000 0.000 0.500 1
Ag1 Ag 0.000 0.000 0.000 1
Pd1 Pd 0.500 0.500 0.500 1
# VASP energy (eV/atom): -31.08
# Total moment (μB per cell): 0.0

No. 4
# Tc2AgSb | Alexandria | meta-GGA SCAN | PBEsol geometry
data_Tc2AgSb
_chemical_formula_sum 'Tc2 Ag1 Sb1'
_space_group_name_H-M_alt 'P m m 2'
_space_group_IT_number 25
_space_group_name_Hall 'P 2 -2'
_cell_length_a 2.981
_cell_length_b 3.738
_cell_length_c 5.955
_cell_angle_alpha 90.00
_cell_angle_beta 90.00
_cell_angle_gamma 90.00
loop_
_atom_site_label
_atom_site_type_symbol
_atom_site_fract_x
_atom_site_fract_y
_atom_site_fract_z
_atom_site_occupancy
Tc1 Tc 0.000 0.000 0.000 1
Tc2 Tc 0.500 0.500 0.195 1
Ag1 Ag 0.000 0.000 0.455 1
Sb1 Sb 0.500 0.500 0.736 1
# VASP energy (eV/atom): -34.31
# Total moment (μB per cell): 0.0
# Uncorrected formation energy (meV per atom): 377

No. 5
# Fe2OsRh | Alexandria | meta-GGA SCAN | PBEsol geometry
data_Fe2OsRh
_chemical_formula_sum 'Fe8 Os4 Rh4'
_space_group_name_H-M_alt 'F m -3 m'
_space_group_IT_number 225
_space_group_name_Hall '-F 4 2 3'
_cell_length_a 5.841
_cell_length_b 5.841
_cell_length_c 5.841
_cell_angle_alpha 90.00
_cell_angle_beta 90.00
_cell_angle_gamma 90.00
loop_
_atom_site_label
_atom_site_type_symbol
_atom_site_fract_x
_atom_site_fract_y
_atom_site_fract_z
_atom_site_occupancy
Fe1 Fe 0.250 0.250 0.250 1
Os1 Os 0.000 0.000 0.000 1
Rh1 Rh 0.000 0.000 0.500 1
# VASP energy (eV/atom): -35.41
# ΔE to the lowest computed polymorph (eV/atom): 0.0573
# Total moment (μB per cell): 29.2

No. 6
# MgAlZn3 | Alexandria | meta-GGA SCAN | PBEsol geometry
data_MgAlZn3
_chemical_formula_sum 'Mg1 Al1 Zn3'
_space_group_name_H-M_alt 'P m -3 m'
_space_group_IT_number 221
_space_group_name_Hall '-P 4 2 3'
_cell_length_a 4.863
_cell_length_b 4.863
_cell_length_c 4.863
_cell_angle_alpha 90.00
_cell_angle_beta 90.00
_cell_angle_gamma 90.00
loop_
_atom_site_label
_atom_site_type_symbol
_atom_site_fract_x
_atom_site_fract_y
_atom_site_fract_z
_atom_site_occupancy
Mg1 Mg 0.000 0.000 0.000 1
Al1 Al 0.500 0.500 0.500 1
Zn1 Zn 0.000 0.000 0.500 1
# VASP energy (eV/atom): -9.83
# Total moment (μB per cell): 0.0

No. 7
# GaPbN2 | Alexandria | meta-GGA SCAN | PBEsol geometry
data_GaPbN2
_chemical_formula_sum 'Ga3 Pb3 N6'
_space_group_name_H-M_alt 'R -3 m'
_space_group_IT_number 166
_space_group_name_Hall '-R 3 2"'
_cell_length_a 3.6252
_cell_length_b 3.6252
_cell_length_c 17.7676
_cell_angle_alpha 90.00
_cell_angle_beta 90.00
_cell_angle_gamma 120.00
loop_
_atom_site_label
_atom_site_type_symbol
_atom_site_fract_x
_atom_site_fract_y
_atom_site_fract_z
_atom_site_occupancy
Ga1 Ga 0.0000 0.0000 0.0000 1
Pb1 Pb 0.0000 0.0000 0.5000 1
N1 N 0.0000 0.0000 0.0998 1
# VASP energy (eV/atom): -26.97
# Total moment (μB per cell): 0.0
# Uncorrected formation energy (meV per atom): 706

No. 8
# RbTcMoH2 | Alexandria | meta-GGA SCAN | PBEsol geometry
data_RbTcMoH2
_chemical_formula_sum 'Rb1 Tc1 Mo1 H2'
_space_group_name_H-M_alt 'P 4/m m m'
_space_group_IT_number 123
_space_group_name_Hall '-P 4 2'
_cell_length_a 3.588
_cell_length_b 3.588
_cell_length_c 6.604
_cell_angle_alpha 90.00
_cell_angle_beta 90.00
_cell_angle_gamma 90.00
loop_
_atom_site_label
_atom_site_type_symbol
_atom_site_fract_x
_atom_site_fract_y
_atom_site_fract_z
_atom_site_occupancy
Rb1 Rb 0.000 0.000 0.000 1
Tc1 Tc 0.500 0.500 0.500 1
Mo1 Mo 0.000 0.000 0.500 1
H1 H 0.000 0.500 0.000 1
# VASP energy (eV/atom): -17.44
# Total moment (μB per cell): 0.1

- Number 6 is which compound?
  MgAlZn3

Repeat the second record exactly.
# Mn3NiBi | Alexandria | meta-GGA SCAN | PBEsol geometry
data_Mn3NiBi
_chemical_formula_sum 'Mn3 Ni1 Bi1'
_space_group_name_H-M_alt 'P m -3 m'
_space_group_IT_number 221
_space_group_name_Hall '-P 4 2 3'
_cell_length_a 4.488
_cell_length_b 4.488
_cell_length_c 4.488
_cell_angle_alpha 90.00
_cell_angle_beta 90.00
_cell_angle_gamma 90.00
loop_
_atom_site_label
_atom_site_type_symbol
_atom_site_fract_x
_atom_site_fract_y
_atom_site_fract_z
_atom_site_occupancy
Mn1 Mn 0.000 0.000 0.500 1
Ni1 Ni 0.000 0.000 0.000 1
Bi1 Bi 0.500 0.500 0.500 1
# VASP energy (eV/atom): -29.69
# Total moment (μB per cell): 12.8